VASP calculation (GGA-PBE) on a geometry-optimized NiPBr2 structure.

Lattice parameters (Å, degrees): 14.646 3.165 3.568 90.00 92.80 90.00
Element x y z (fractional)
Ni  0.000  0.000  0.000
Ni  0.500  0.500  0.000
P  0.000  0.500  0.500
P  0.500  0.000  0.500
Br  0.155  0.500  0.262
Br  0.345  0.000  0.738
Br  0.655  0.000  0.262
Br  0.845  0.500  0.738

Values from the calculation:
* energy relative to the elements, uncorrected: 0.14 eV/atom
* D(E_F): 6.83 states/eV per cell
* symmetry: C2/m (12)
* electronic total energy: -27.94 eV for the cell shown



VASP calculation (GGA-PBE) on a geometry-optimized NiPBr2 structure.

Lattice parameters (Å, degrees): 3.378 3.447 15.757 90.00 90.00 90.00
Element x y z (fractional)
Ni  0.000  0.000  0.000
Ni  0.500  0.500  0.500
P  0.000  0.000  0.500
P  0.500  0.500  0.000
Br  0.000  0.500  0.138
Br  0.000  0.500  0.862
Br  0.500  0.000  0.362
Br  0.500  0.000  0.638

Values from the calculation:
* energy relative to the elements, uncorrected: 0.17 eV/atom
* D(E_F): 4.48 states/eV per cell
* symmetry: Immm (71)
* electronic total energy: -27.69 eV for the cell shown



VASP calculation (GGA-PBE) on a geometry-optimized NiPBr2 structure.

Lattice parameters (Å, degrees): 6.731 6.731 6.731 90.00 90.00 90.00
Element x y z (fractional)
Ni  0.000  0.000  0.000
Ni  0.000  0.500  0.500
Ni  0.500  0.000  0.500
Ni  0.500  0.500  0.000
P  0.250  0.250  0.250
P  0.250  0.750  0.750
P  0.750  0.250  0.750
P  0.750  0.750  0.250
Br  0.000  0.000  0.500
Br  0.000  0.500  0.000
Br  0.250  0.250  0.750
Br  0.250  0.750  0.250
Br  0.500  0.000  0.000
Br  0.500  0.500  0.500
Br  0.750  0.250  0.250
Br  0.750  0.750  0.750

Values from the calculation:
* energy relative to the elements, uncorrected: 0.98 eV/atom
* D(E_F): 18.81 states/eV per cell
* symmetry: F-43m (216)
* electronic total energy: -42.53 eV for the cell shown